Entry 1:
Entry from Alexandria via LeMat-Bulk: an optimized crystal structure of Pu2MgTlO8 (PBE-GGA).

Calculated values
Total energy (eV/atom): -8.11
Crystal system: tetragonal
Volume (A^3/atom): 12.31

Geometry as CIF:
```
data_Pu2MgTlO8
_chemical_formula_sum 'Pu4 Mg2 Tl2 O16'
_cell_length_a 5.2882
_cell_length_b 5.2882
_cell_length_c 10.5670
_cell_angle_alpha 90.00
_cell_angle_beta 90.00
_cell_angle_gamma 90.00
_space_group_name_H-M_alt 'I -4'
_space_group_IT_number 82
loop_
_space_group_symop_operation_xyz
'x,y,z'
'y,-x,-z'
'-x,-y,z'
'-y,x,-z'
'x+1/2,y+1/2,z+1/2'
'y+1/2,-x+1/2,-z+1/2'
'-x+1/2,-y+1/2,z+1/2'
'-y+1/2,x+1/2,-z+1/2'
loop_
_atom_site_label
_atom_site_type_symbol
_atom_site_fract_x
_atom_site_fract_y
_atom_site_fract_z
_atom_site_occupancy
Pu1 Pu 0.0000 0.0000 0.0000 1
Pu2 Pu 0.0000 0.5000 0.2500 1
Mg1 Mg 0.0000 0.0000 0.5000 1
Tl1 Tl 0.0000 0.5000 0.7500 1
O1 O 0.2184 0.2608 0.3939 1
O2 O 0.2227 0.2272 0.1393 1
```


Entry 2:
Entry from Alexandria via LeMat-Bulk: an optimized crystal structure of Tl2ReBr6 (PBE-GGA).

Calculated values
Offset from the most stable computed form (meV per atom): 0
Total energy (eV/atom): -3.58
Crystal system: monoclinic
Volume (A^3/atom): 35.64

Geometry as CIF:
```
data_Tl2ReBr6
_chemical_formula_sum 'Tl4 Re2 Br12'
_cell_length_a 12.8688
_cell_length_b 7.4409
_cell_length_c 6.6995
_cell_angle_alpha 90.00
_cell_angle_beta 90.83
_cell_angle_gamma 90.00
_space_group_name_H-M_alt 'C 1 2/m 1'
_space_group_IT_number 12
loop_
_space_group_symop_operation_xyz
'x,y,z'
'-x,-y,-z'
'-x,y,-z'
'x,-y,z'
'x+1/2,y+1/2,z'
'-x+1/2,-y+1/2,-z'
'-x+1/2,y+1/2,-z'
'x+1/2,-y+1/2,z'
loop_
_atom_site_label
_atom_site_type_symbol
_atom_site_fract_x
_atom_site_fract_y
_atom_site_fract_z
_atom_site_occupancy
Tl1 Tl 0.1689 0.0000 0.1502 1
Re1 Re 0.0000 0.5000 0.0000 1
Br1 Br 0.0794 0.2596 0.7824 1
Br2 Br 0.1616 0.5000 0.2205 1
```